(1)
The following is a DFT calculation (PBE) of a geometry-optimized Eu3Mo5N12 structure.

```
Eu3Mo5N12
1.0
11.250 0.000 0.000
-3.750 10.607 0.000
-3.750 -5.303 9.186
N Mo Eu
48 20 12
Direct
0.113 0.420 0.101 N
0.887 0.580 0.899 N
0.818 0.920 0.307 N
0.920 0.818 0.807 N
0.899 0.080 0.887 N
0.693 0.580 0.182 N
0.101 0.920 0.113 N
0.489 0.807 0.887 N
0.399 0.387 0.580 N
0.580 0.693 0.682 N
0.420 0.307 0.318 N
0.920 0.101 0.613 N
0.080 0.182 0.193 N
0.489 0.682 0.101 N
0.807 0.489 0.387 N
0.580 0.887 0.399 N
0.387 0.989 0.807 N
0.080 0.899 0.387 N
0.101 0.182 0.489 N
0.011 0.399 0.818 N
0.887 0.307 0.489 N
0.011 0.613 0.693 N
0.613 0.601 0.920 N
0.511 0.318 0.899 N
0.182 0.080 0.693 N
0.420 0.113 0.601 N
0.318 0.511 0.399 N
0.601 0.989 0.682 N
0.307 0.887 0.989 N
0.182 0.101 0.989 N
0.307 0.420 0.818 N
0.989 0.387 0.307 N
0.818 0.899 0.011 N
0.613 0.011 0.193 N
0.113 0.693 0.511 N
0.682 0.489 0.601 N
0.387 0.399 0.080 N
0.399 0.011 0.318 N
0.682 0.193 0.580 N
0.193 0.682 0.080 N
0.601 0.613 0.420 N
0.511 0.193 0.113 N
0.318 0.807 0.420 N
0.807 0.318 0.920 N
0.989 0.601 0.182 N
0.899 0.818 0.511 N
0.193 0.511 0.613 N
0.693 0.113 0.011 N
0.500 0.500 0.500 Mo
0.500 0.000 0.000 Mo
0.125 0.750 0.375 Mo
0.750 0.625 0.375 Mo
0.875 0.625 0.750 Mo
0.250 0.875 0.125 Mo
0.000 0.500 0.500 Mo
0.000 0.000 0.500 Mo
0.000 0.000 0.000 Mo
0.500 0.500 0.000 Mo
0.000 0.500 0.000 Mo
0.875 0.250 0.625 Mo
0.625 0.875 0.250 Mo
0.625 0.750 0.875 Mo
0.375 0.125 0.750 Mo
0.125 0.375 0.250 Mo
0.500 0.000 0.500 Mo
0.250 0.375 0.625 Mo
0.750 0.125 0.875 Mo
0.375 0.250 0.125 Mo
0.750 0.875 0.625 Eu
0.875 0.125 0.250 Eu
0.250 0.125 0.375 Eu
0.250 0.625 0.875 Eu
0.125 0.250 0.875 Eu
0.375 0.750 0.625 Eu
0.125 0.875 0.750 Eu
0.750 0.375 0.125 Eu
0.875 0.750 0.125 Eu
0.625 0.375 0.750 Eu
0.625 0.250 0.375 Eu
0.375 0.625 0.250 Eu
```

Computed properties:
Calculated volume ... 13.700 A^3/atom
Density of states at the Fermi level ... 83.5 states/eV per cell
Total magnetic moment ... 80.82 Bohr magnetons per cell
Formation energy (no corrections) ... -11.0 eV per formula unit
Space group ... No. 230

---

(2)
The following is a DFT calculation (PBE) of a geometry-optimized CsLiRuF6 structure.

```
CsLiRuF6
1.0
5.406 0.001 0.000
2.703 4.681 0.000
0.000 -0.001 6.580
Ru F Li Cs
1 6 1 1
Direct
0.333 0.333 0.500 Ru
0.617 0.364 0.667 F
0.617 0.019 0.333 F
0.364 0.617 0.333 F
0.019 0.364 0.333 F
0.364 0.019 0.667 F
0.019 0.617 0.667 F
0.667 0.667 0.500 Li
0.000 0.000 0.000 Cs
```

Computed properties:
Calculated volume ... 18.501 A^3/atom
Density of states at the Fermi level ... 7.8 states/eV per cell
Total magnetic moment ... 2.00 Bohr magnetons per cell
Formation energy (no corrections) ... -20.9 eV per formula unit
Space group ... No. 149

---

(3)
The following is a DFT calculation (PBE) of a geometry-optimized CsRb2Sn structure.

```
CsRb2Sn
1.0
-4.441 -0.685 6.520
9.088 -0.479 6.139
-5.428 12.459 -2.388
Cs Rb Sn
4 8 4
Direct
0.912 0.383 0.588 Cs
0.088 0.617 0.412 Cs
0.412 0.117 0.412 Cs
0.588 0.883 0.588 Cs
0.365 0.248 0.106 Rb
0.151 0.855 0.782 Rb
0.651 0.645 0.218 Rb
0.849 0.145 0.218 Rb
0.635 0.752 0.894 Rb
0.865 0.252 0.894 Rb
0.349 0.355 0.782 Rb
0.135 0.748 0.106 Rb
0.435 0.537 0.604 Sn
0.065 0.037 0.604 Sn
0.565 0.463 0.396 Sn
0.935 0.963 0.396 Sn
```

Computed properties:
Calculated volume ... 66.488 A^3/atom
Density of states at the Fermi level ... 16.7 states/eV per cell
ΔH_f (0 K) ... -0.077 eV per atom
Total magnetic moment ... 0.50 Bohr magnetons per cell
Space group ... No. 14

---

(4)
The following is a DFT calculation (PBE) of a geometry-optimized TaV2Sn structure.

```
TaV2Sn
1.0
-0.668 3.184 0.726
-1.552 0.343 -2.930
-5.156 -1.661 2.538
Ta Sn V
1 1 2
Direct
0.500 0.500 0.500 Ta
0.500 0.500 0.000 Sn
0.000 0.000 0.268 V
0.000 0.000 0.732 V
```

Computed properties:
Calculated volume ... 16.614 A^3/atom
Density of states at the Fermi level ... 3.8 states/eV per cell
ΔH_f (0 K) ... -0.045 eV per atom
Total magnetic moment ... 0.00 Bohr magnetons per cell
Space group ... No. 123

---

(5)
The following is a DFT calculation (PBE) of a geometry-optimized CaSiAu2 structure.

```
CaSiAu2
1.0
5.100 0.000 0.000
0.000 5.100 0.000
2.550 2.550 7.924
Si Au Ca
2 4 2
Direct
0.500 0.500 0.000 Si
0.250 0.750 0.500 Si
0.503 0.125 0.250 Au
0.875 0.753 0.750 Au
0.247 0.625 0.250 Au
0.375 0.497 0.750 Au
0.750 0.250 0.500 Ca
0.000 0.000 0.000 Ca
```

Computed properties:
Calculated volume ... 25.765 A^3/atom
Density of states at the Fermi level ... 1.2 states/eV per cell
Total magnetic moment ... 0.00 Bohr magnetons per cell
Formation energy (no corrections) ... -1.5 eV per formula unit
Space group ... No. 122

---

(6)
The following is a DFT calculation (PBE) of a geometry-optimized Pr7Au2N2 structure.

```
Pr7Au2N2
1.0
6.832 0.130 -1.262
0.133 6.551 -0.120
-1.686 -0.135 6.740
N Au Pr
2 2 7
Direct
0.228 0.972 0.772 N
0.772 0.028 0.228 N
0.816 0.500 0.816 Au
0.184 0.500 0.184 Au
0.512 0.238 0.945 Pr
0.567 0.221 0.433 Pr
0.488 0.762 0.055 Pr
0.000 0.000 0.000 Pr
0.055 0.238 0.488 Pr
0.433 0.779 0.567 Pr
0.945 0.762 0.512 Pr
```

Computed properties:
Calculated volume ... 26.142 A^3/atom
Density of states at the Fermi level ... 10.7 states/eV per cell
Total magnetic moment ... 0.00 Bohr magnetons per cell
Formation energy (no corrections) ... -6.1 eV per formula unit
Space group ... No. 12

---

(7)
The following is a DFT calculation (PBE) of a geometry-optimized ScBeAs structure.

```
ScBeAs
1.0
4.347 0.000 0.000
2.173 3.764 0.000
2.173 1.255 3.549
Sc As Be
1 1 1
Direct
0.750 0.750 0.750 Sc
0.000 0.000 0.000 As
0.500 0.500 0.500 Be
```

Computed properties:
Calculated volume ... 19.356 A^3/atom
Density of states at the Fermi level ... 1.1 states/eV per cell
ΔH_f (0 K) ... -0.004 eV per atom
Total magnetic moment ... 0.00 Bohr magnetons per cell
ΔE to the lowest computed polymorph ... 0.7462 eV/atom
Space group ... No. 216

---

(8)
The following is a DFT calculation (PBE) of a geometry-optimized TcNi2Cl structure.

```
TcNi2Cl
1.0
2.753 0.000 0.000
0.000 4.333 0.000
0.000 0.000 4.458
Ni Cl Tc
2 1 1
Direct
0.000 0.000 0.000 Ni
0.500 0.500 0.000 Ni
0.000 0.500 0.500 Cl
0.500 0.000 0.500 Tc
```

Computed properties:
Calculated volume ... 13.297 A^3/atom
Density of states at the Fermi level ... 4.6 states/eV per cell
Total magnetic moment ... 2.30 Bohr magnetons per cell
Formation energy (no corrections) ... 2.6 eV per formula unit
ΔE to the lowest computed polymorph ... 0.4681 eV/atom
Space group ... No. 47

---

(9)
The following is a DFT calculation (PBE) of a geometry-optimized BaNi2GeI structure.

```
BaNi2GeI
1.0
4.758 0.000 0.000
0.000 5.953 0.000
0.000 0.000 4.758
I Ni Ge Ba
1 2 1 1
Direct
0.000 0.000 0.000 I
0.000 0.000 0.500 Ni
0.500 0.000 0.000 Ni
0.000 0.500 0.000 Ge
0.500 0.500 0.500 Ba
```

Computed properties:
Calculated volume ... 26.951 A^3/atom
Density of states at the Fermi level ... 3.4 states/eV per cell
Total magnetic moment ... 0.00 Bohr magnetons per cell
Formation energy (no corrections) ... 2.5 eV per formula unit
Space group ... No. 123

---

(10)
The following is a DFT calculation (PBE) of a geometry-optimized BiSb2Se structure.

```
BiSb2Se
1.0
4.163 0.000 0.000
0.000 6.292 0.000
0.000 0.000 9.191
Sb Bi Se
4 2 2
Direct
0.000 0.506 0.667 Sb
0.500 0.487 0.941 Sb
0.000 0.494 0.167 Sb
0.500 0.513 0.441 Sb
0.500 0.994 0.915 Bi
0.500 0.006 0.415 Bi
0.000 0.042 0.664 Se
0.000 0.958 0.164 Se
```

Computed properties:
Calculated volume ... 30.094 A^3/atom
Density of states at the Fermi level ... 2.7 states/eV per cell
Total magnetic moment ... 0.00 Bohr magnetons per cell
Formation energy (no corrections) ... -0.2 eV per formula unit
ΔE to the lowest computed polymorph ... 0.0036 eV/atom
Space group ... No. 26

---

(11)
The following is a DFT calculation (PBE) of a geometry-optimized SiHg2O4F6 structure.

```
SiHg2O4F6
1.0
-0.812 3.533 -3.576
-4.897 0.973 1.853
5.102 4.106 3.546
O Si F Hg
4 1 6 2
Direct
0.616 0.272 0.052 O
0.440 0.245 0.161 O
0.560 0.755 0.839 O
0.384 0.728 0.948 O
0.000 0.000 0.500 Si
0.853 0.199 0.701 F
0.288 0.175 0.589 F
0.147 0.801 0.299 F
0.908 0.224 0.386 F
0.712 0.825 0.411 F
0.092 0.776 0.614 F
0.500 0.500 0.500 Hg
0.000 0.000 0.000 Hg
```

Computed properties:
Calculated volume ... 14.446 A^3/atom
Density of states at the Fermi level ... 1.4 states/eV per cell
Total magnetic moment ... 2.02 Bohr magnetons per cell
Formation energy (no corrections) ... -19.1 eV per formula unit
ΔE to the lowest computed polymorph ... 0.0067 eV/atom
Space group ... No. 2

---

(12)
The following is a DFT calculation (PBE) of a geometry-optimized Li6PrHg4 structure.

```
Li6PrHg4
1.0
-2.993 -2.548 1.111
-0.055 -3.156 -7.384
4.759 -3.122 5.665
Hg Li Pr
4 6 1
Direct
0.000 0.333 0.667 Hg
0.500 0.810 0.190 Hg
0.500 0.380 0.190 Hg
0.500 0.810 0.620 Hg
0.500 0.204 0.796 Li
0.000 0.534 0.068 Li
0.500 0.204 0.409 Li
0.000 0.932 0.466 Li
0.500 0.591 0.796 Li
0.000 0.534 0.466 Li
0.000 0.000 0.000 Pr
```

Computed properties:
Calculated volume ... 20.738 A^3/atom
Density of states at the Fermi level ... 6.5 states/eV per cell
ΔH_f (0 K) ... -0.315 eV per atom
Total magnetic moment ... 0.00 Bohr magnetons per cell
Space group ... No. 187

---

Among the records above, which one has the highest total magnetic moment?
Eu3Mo5N12